Record 1
The following is a DFT calculation (PBE-GGA) of Ta2NbGa after structural relaxation.

The structure in POSCAR format:
```
Ta2NbGa
1.0
0.000 3.272 3.272
3.272 0.000 3.272
3.272 3.272 0.000
Ta Nb Ga
2 1 1
Direct
0.000 0.000 0.000
0.250 0.250 0.250
0.750 0.750 0.750
0.500 0.500 0.500
```

Computed properties:
- size of the total moment (μB per atom) = 0.0013
- space-group type = No. 216
- calculated total energy (eV/atom) = -9.21

Record 2
The following is a DFT calculation (PBE-GGA) of NbGaTc2 after structural relaxation.

The structure in POSCAR format:
```
NbGaTc2
1.0
0.000 3.142 3.142
3.142 0.000 3.142
3.142 3.142 0.000
Nb Ga Tc
1 1 2
Direct
0.000 0.000 0.000
0.750 0.750 0.750
0.250 0.250 0.250
0.500 0.500 0.500
```

Computed properties:
- size of the total moment (μB per atom) = 0.0040
- space-group type = No. 216
- calculated total energy (eV/atom) = -8.43

Record 3
The following is a DFT calculation (PBE-GGA) of NbGaTc2 after structural relaxation.

The structure in POSCAR format:
```
NbGaTc2
1.0
4.406 0.000 0.000
-2.203 3.816 0.000
0.000 0.000 7.881
Nb Ga Tc
2 2 4
Direct
0.333 0.667 0.250
0.667 0.333 0.750
0.000 0.000 0.000
0.000 0.000 0.500
0.333 0.667 0.594
0.333 0.667 0.906
0.667 0.333 0.094
0.667 0.333 0.406
```

Computed properties:
- size of the total moment (μB per atom) = 0.0022
- space-group type = No. 194
- calculated total energy (eV/atom) = -8.46

Record 4
The following is a DFT calculation (PBE-GGA) of NbGa2Tc2 after structural relaxation.

The structure in POSCAR format:
```
NbGa2Tc2
1.0
-1.872 1.872 5.789
1.872 -1.872 5.789
1.872 1.872 -5.789
Nb Ga Tc
1 2 2
Direct
0.000 0.000 0.000
0.400 0.400 0.000
0.600 0.600 0.000
0.250 0.750 0.500
0.750 0.250 0.500
```

Computed properties:
- size of the total moment (μB per atom) = 0.0073
- space-group type = No. 139
- calculated total energy (eV/atom) = -7.17

Record 5
The following is a DFT calculation (PBE-GGA) of NbGa2Tc after structural relaxation.

The structure in POSCAR format:
```
NbGa2Tc
1.0
0.000 3.144 3.144
3.144 0.000 3.144
3.144 3.144 0.000
Nb Ga Tc
1 2 1
Direct
0.000 0.000 0.000
0.250 0.250 0.250
0.500 0.500 0.500
0.750 0.750 0.750
```

Computed properties:
- size of the total moment (μB per atom) = 0.0004
- space-group type = No. 216
- calculated total energy (eV/atom) = -6.70

Record 6
The following is a DFT calculation (PBE-GGA) of NbGaTc2 after structural relaxation.

The structure in POSCAR format:
```
NbGaTc2
1.0
4.486 0.000 0.000
-2.243 3.885 0.000
0.000 0.000 7.441
Nb Ga Tc
2 2 4
Direct
0.000 0.000 0.250
0.000 0.000 0.750
0.333 0.667 0.250
0.667 0.333 0.750
0.333 0.667 0.582
0.333 0.667 0.918
0.667 0.333 0.082
0.667 0.333 0.418
```

Computed properties:
- size of the total moment (μB per atom) = 0.0014
- space-group type = No. 194
- calculated total energy (eV/atom) = -8.20

Record 7
The following is a DFT calculation (PBE-GGA) of NbGaTc2 after structural relaxation.

The structure in POSCAR format:
```
NbGaTc2
1.0
4.341 0.000 0.000
0.000 4.341 0.000
0.000 0.000 3.254
Nb Ga Tc
1 1 2
Direct
0.000 0.000 0.000
0.500 0.500 0.000
0.000 0.500 0.500
0.500 0.000 0.500
```

Computed properties:
- size of the total moment (μB per atom) = 0.0053
- space-group type = No. 123
- calculated total energy (eV/atom) = -8.67

Record 8
The following is a DFT calculation (PBE-GGA) of NbGaTc after structural relaxation.

The structure in POSCAR format:
```
NbGaTc
1.0
0.000 3.040 3.040
3.040 0.000 3.040
3.040 3.040 0.000
Nb Ga Tc
1 1 1
Direct
0.000 0.000 0.000
0.500 0.500 0.500
0.750 0.750 0.750
```

Computed properties:
- size of the total moment (μB per atom) = 0.2022
- space-group type = No. 216
- calculated total energy (eV/atom) = -7.59